Here is a geometry-optimized CrSbCl2 structure from the Alexandria database. Energies are from PBE-GGA.

Unit cell a=6.702 b=6.702 c=9.518 alpha=90.00 beta=90.00 gamma=90.00
Element x y z (fractional)
Cr 0.000 0.000 0.000
Cr 0.000 0.500 0.250
Cr 0.500 0.000 0.750
Cr 0.500 0.500 0.500
Sb 0.000 0.000 0.500
Sb 0.000 0.500 0.750
Sb 0.500 0.000 0.250
Sb 0.500 0.500 0.000
Cl 0.097 0.250 0.125
Cl 0.250 0.597 0.375
Cl 0.250 0.903 0.875
Cl 0.403 0.250 0.625
Cl 0.597 0.750 0.625
Cl 0.750 0.097 0.875
Cl 0.750 0.403 0.375
Cl 0.903 0.750 0.125

Output
Crystal system: tetragonal
DOS at the Fermi energy in states/eV per atom: 1.7689
ΔE_f (raw) in eV/atom: 0.380